A plane-wave DFT calculation with GGA-PBE was carried out for a relaxed CrNi2WI crystal.

Calculated values
Its uncorrected formation energy is 1.50 eV per atom.

Cell lengths 4.598, 4.598, 5.278 Å; angles 90.00, 90.00, 90.00 degrees
Positions (direct):
1 Cr 0.000 0.000 0.000
2 Ni 0.000 0.500 0.500
3 Ni 0.500 0.000 0.500
4 W 0.500 0.500 0.500
5 I 0.500 0.500 0.000